(a)
A relaxed SrAsBr2 crystal. Source: Alexandria, functional GGA-PBE.

Unit cell a=3.9525 b=6.1597 c=4.5956 alpha=90.00 beta=90.00 gamma=90.00
Closest atoms and distances in Å follow each position.
Positions (direct):
Sr 0.5000 0.0000 0.5000  4 Br 3.03
Br 0.5000 0.5000 0.0000  4 As 3.03
Br 0.0000 0.0000 0.0000  4 Sr 3.03
As 0.0000 0.5000 0.5000  4 Br 3.03

Values from the calculation:
The space-group type is Pmmm (47).

(b)
A relaxed SrAsBr2 crystal. Source: Alexandria, functional GGA-PBE.

Unit cell a=8.2186 b=8.2186 c=8.2186 alpha=149.94 beta=151.82 gamma=41.67
Closest atoms and distances in Å follow each position.
Positions (direct):
Sr 0.4367 0.4367 0.0000  6 Br 3.16-3.23, 2 As 3.25
As 0.7703 0.2703 0.5000  4 Br 2.93, 2 Sr 3.25
Br 0.2788 0.7788 0.5000  4 As 2.93, 2 Sr 3.23
Br 0.0142 0.0142 0.0000  4 Sr 3.16

Values from the calculation:
The space-group type is Imm2 (44).

(c)
A relaxed SrAsBr2 crystal. Source: Alexandria, functional GGA-PBE.

Unit cell a=5.8743 b=4.7971 c=5.9279 alpha=57.21 beta=90.00 gamma=90.00
Closest atoms and distances in Å follow each position.
Positions (direct):
Br 0.5000 0.4278 0.2506  1 As 2.52
Br 0.0000 0.0026 0.0947  3 Sr 3.09-3.16
Sr 0.0000 0.2255 0.4980  5 Br 3.09-3.19, 2 As 3.32
As 0.5000 0.8441 0.6567  1 Br 2.52

Values from the calculation:
The space-group type is Pm (6).

(d)
A relaxed SrAsBr2 crystal. Source: Alexandria, functional GGA-PBE.

Unit cell a=7.7422 b=7.7422 c=7.7422 alpha=35.84 beta=35.84 gamma=35.84
Closest atoms and distances in Å follow each position.
Positions (direct):
Br 0.0479 0.0479 0.0479  3 As 2.78
Br 0.2265 0.2265 0.2265  3 Sr 3.11
As 0.7327 0.7327 0.7327  3 Br 2.78
Sr 0.4929 0.4929 0.4929  3 Br 3.11, 3 As 3.42

Values from the calculation:
The space-group type is R3m (160).

Question: of the structures shown, which is the least stable? Reply: (d).